Entry 1:
The following is a GGA-PBE calculation of a relaxed structure of HgSeN3, from Alexandria.

Unit cell a=4.239 b=4.239 c=4.239 alpha=90.00 beta=90.00 gamma=90.00
Positions (direct):
Hg 0.000 0.000 0.000
Se 0.500 0.500 0.500
N 0.000 0.500 0.000
N 0.000 0.000 0.500
N 0.500 0.000 0.000

Output
Density: 7.01 Mg/m³
Density of states at the Fermi level: 5.2 states/eV/f.u.
Energy: -14.491 eV/cell
Magnetic moment: 3.00 μB/f.u.
Raw formation energy: 2.854 eV/atom

Entry 2:
The following is a GGA-PBE calculation of a relaxed structure of Hg2SeN2, from Alexandria.

Unit cell a=4.741 b=8.188 c=15.858 alpha=132.45 beta=143.27 gamma=29.99
Positions (direct):
Hg 0.683 0.347 0.889
Hg 0.317 0.653 0.111
Se 0.000 0.000 0.000
N 0.273 0.116 0.470
N 0.727 0.884 0.530

Output
Density: 4.60 Mg/m³
Density of states at the Fermi level: 0.6 states/eV/f.u.
Energy: -20.208 eV/cell
Magnetic moment: 0.00 μB/f.u.
Raw formation energy: 0.106 eV/atom

Entry 3:
The following is a GGA-PBE calculation of a relaxed structure of HgSeN3, from Alexandria.

Unit cell a=3.898 b=3.898 c=3.898 alpha=90.00 beta=90.00 gamma=90.00
Positions (direct):
Hg 0.500 0.500 0.500
Se 0.000 0.000 0.000
N 0.000 0.500 0.000
N 0.000 0.000 0.500
N 0.500 0.000 0.000

Output
Density: 9.01 Mg/m³
Density of states at the Fermi level: 3.6 states/eV/f.u.
Energy: -18.292 eV/cell
Magnetic moment: 1.18 μB/f.u.
Raw formation energy: 2.094 eV/atom

Entry 4:
The following is a GGA-PBE calculation of a relaxed structure of Hg2SeN, from Alexandria.

Unit cell a=4.895 b=4.895 c=4.895 alpha=60.00 beta=60.00 gamma=60.00
Positions (direct):
Hg 0.250 0.250 0.250
Hg 0.750 0.750 0.750
Se 0.500 0.500 0.500
N 0.000 0.000 0.000

Output
Density: 9.90 Mg/m³
Density of states at the Fermi level: 2.8 states/eV/f.u.
Energy: -7.324 eV/cell
Relative energy among the computed polymorphs: 581 meV per atom
Magnetic moment: 2.41 μB/f.u.
Raw formation energy: 1.272 eV/atom

Entry 5:
The following is a GGA-PBE calculation of a relaxed structure of Hg3SeN, from Alexandria.

Unit cell a=4.751 b=4.751 c=4.751 alpha=90.00 beta=90.00 gamma=90.00
Positions (direct):
Hg 0.000 0.500 0.000
Hg 0.000 0.000 0.500
Hg 0.500 0.000 0.000
Se 0.500 0.500 0.500
N 0.000 0.000 0.000

Output
Density: 10.76 Mg/m³
Density of states at the Fermi level: 3.6 states/eV/f.u.
Energy: -9.265 eV/cell
Relative energy among the computed polymorphs: 305 meV per atom
Magnetic moment: 0.00 μB/f.u.
Raw formation energy: 0.690 eV/atom

Entry 6:
The following is a GGA-PBE calculation of a relaxed structure of Hg3SeN, from Alexandria.

Unit cell a=5.449 b=5.449 c=5.449 alpha=90.00 beta=90.00 gamma=90.00
Positions (direct):
Hg 0.000 0.500 0.000
Hg 0.000 0.000 0.500
Hg 0.500 0.000 0.000
Se 0.000 0.000 0.000
N 0.500 0.500 0.500

Output
Density: 7.13 Mg/m³
Density of states at the Fermi level: 19.2 states/eV/f.u.
Energy: -5.374 eV/cell
Relative energy among the computed polymorphs: 1084 meV per atom
Magnetic moment: 0.00 μB/f.u.
Raw formation energy: 1.468 eV/atom

Entry 7:
The following is a GGA-PBE calculation of a relaxed structure of HgSeN, from Alexandria.

Unit cell a=4.189 b=8.277 c=7.932 alpha=134.24 beta=120.64 gamma=80.60
Positions (direct):
Hg 0.960 0.877 0.381
Hg 0.973 0.328 0.712
Se 0.717 0.764 0.798
Se 0.919 0.458 0.196
N 0.336 0.490 0.472
N 0.045 0.709 0.990

Output
Density: 6.05 Mg/m³
Energy: -20.247 eV/cell
Relative energy among the computed polymorphs: 0 meV per atom
Magnetic moment: 0.00 μB/f.u.
Raw formation energy: 0.663 eV/atom

Entry 8:
The following is a GGA-PBE calculation of a relaxed structure of SiHgSeN2, from Alexandria.

Unit cell a=3.602 b=3.602 c=6.389 alpha=90.00 beta=90.00 gamma=90.00
Positions (direct):
Si 0.000 0.000 0.000
Hg 0.500 0.500 0.500
Se 0.000 0.000 0.500
N 0.000 0.500 0.000
N 0.500 0.000 0.000

Output
Density: 6.73 Mg/m³
Density of states at the Fermi level: 2.9 states/eV/f.u.
Energy: -22.685 eV/cell
Relative energy among the computed polymorphs: 0 meV per atom
Magnetic moment: 0.00 μB/f.u.
Raw formation energy: 0.635 eV/atom

Entry 9:
The following is a GGA-PBE calculation of a relaxed structure of SiHgSeN2, from Alexandria.

Unit cell a=4.192 b=4.192 c=6.057 alpha=90.00 beta=90.00 gamma=90.00
Positions (direct):
Si 0.500 0.500 0.500
Hg 0.000 0.000 0.000
Se 0.000 0.000 0.500
N 0.000 0.500 0.000
N 0.500 0.000 0.000

Output
Density: 5.24 Mg/m³
Density of states at the Fermi level: 1.8 states/eV/f.u.
Energy: -15.841 eV/cell
Relative energy among the computed polymorphs: 1369 meV per atom
Magnetic moment: 3.23 μB/f.u.
Raw formation energy: 2.004 eV/atom

Entry 10:
The following is a GGA-PBE calculation of a relaxed structure of SnHgSeN2, from Alexandria.

Unit cell a=4.323 b=4.323 c=5.925 alpha=90.00 beta=90.00 gamma=90.00
Positions (direct):
N 0.000 0.500 0.000
N 0.500 0.000 0.000
Hg 0.000 0.000 0.000
Se 0.000 0.000 0.500
Sn 0.500 0.500 0.500

Output
Density: 6.39 Mg/m³
Density of states at the Fermi level: 2.4 states/eV/f.u.
Energy: -16.361 eV/cell
Relative energy among the computed polymorphs: 395 meV per atom
Magnetic moment: 3.30 μB/f.u.
Raw formation energy: 1.616 eV/atom

Entry 11:
The following is a GGA-PBE calculation of a relaxed structure of SnHgSeN2, from Alexandria.

Unit cell a=4.046 b=4.046 c=6.202 alpha=90.00 beta=90.00 gamma=90.00
Positions (direct):
N 0.000 0.500 0.000
N 0.500 0.000 0.000
Hg 0.500 0.500 0.500
Se 0.000 0.000 0.500
Sn 0.000 0.000 0.000

Output
Density: 6.97 Mg/m³
Density of states at the Fermi level: 6.4 states/eV/f.u.
Energy: -18.334 eV/cell
Relative energy among the computed polymorphs: 0 meV per atom
Magnetic moment: 0.09 μB/f.u.
Raw formation energy: 1.221 eV/atom

Entry 12:
The following is a GGA-PBE calculation of a relaxed structure of SrHgSeN2, from Alexandria.

Unit cell a=4.460 b=4.460 c=5.491 alpha=90.00 beta=90.00 gamma=90.00
Positions (direct):
Sr 0.500 0.500 0.500
Hg 0.000 0.000 0.000
Se 0.000 0.000 0.500
N 0.000 0.500 0.000
N 0.500 0.000 0.000

Output
Density: 6.01 Mg/m³
Density of states at the Fermi level: 1.1 states/eV/f.u.
Energy: -17.776 eV/cell
Relative energy among the computed polymorphs: 0 meV per atom
Magnetic moment: 2.91 μB/f.u.
Raw formation energy: 0.869 eV/atom

Entry 13:
The following is a GGA-PBE calculation of a relaxed structure of SrHgSeN2, from Alexandria.

Unit cell a=4.865 b=4.865 c=6.272 alpha=90.00 beta=90.00 gamma=90.00
Positions (direct):
Sr 0.000 0.000 0.000
Hg 0.500 0.500 0.500
Se 0.000 0.000 0.500
N 0.000 0.500 0.000
N 0.500 0.000 0.000

Output
Density: 4.42 Mg/m³
Density of states at the Fermi level: 1.7 states/eV/f.u.
Energy: -15.852 eV/cell
Relative energy among the computed polymorphs: 385 meV per atom
Magnetic moment: 4.65 μB/f.u.
Raw formation energy: 1.253 eV/atom

Entry 14:
The following is a GGA-PBE calculation of a relaxed structure of SrHgSe2N, from Alexandria.

Unit cell a=5.935 b=5.935 c=4.600 alpha=90.00 beta=90.00 gamma=90.00
Positions (direct):
Sr 0.000 0.000 0.000
Hg 0.500 0.500 0.500
Se 0.000 0.500 0.000
Se 0.500 0.000 0.000
N 0.000 0.000 0.500

Output
Density: 4.71 Mg/m³
Density of states at the Fermi level: 5.1 states/eV/f.u.
Energy: -13.587 eV/cell
Relative energy among the computed polymorphs: 589 meV per atom
Magnetic moment: 3.80 μB/f.u.
Raw formation energy: 0.738 eV/atom

Entry 15:
The following is a GGA-PBE calculation of a relaxed structure of SrHgSe2N, from Alexandria.

Unit cell a=5.461 b=5.461 c=4.266 alpha=90.00 beta=90.00 gamma=90.00
Positions (direct):
Sr 0.500 0.500 0.500
Hg 0.000 0.000 0.000
Se 0.000 0.500 0.000
Se 0.500 0.000 0.000
N 0.000 0.000 0.500

Output
Density: 6.01 Mg/m³
Density of states at the Fermi level: 3.0 states/eV/f.u.
Energy: -16.531 eV/cell
Relative energy among the computed polymorphs: 0 meV per atom
Magnetic moment: 1.97 μB/f.u.
Raw formation energy: 0.149 eV/atom

Entry 16:
The following is a GGA-PBE calculation of a relaxed structure of TcHgSe2N, from Alexandria.

Unit cell a=5.136 b=5.136 c=3.724 alpha=90.00 beta=90.00 gamma=90.00
Positions (direct):
N 0.000 0.000 0.500
Hg 0.500 0.500 0.500
Se 0.000 0.500 0.000
Se 0.500 0.000 0.000
Tc 0.000 0.000 0.000

Output
Density: 7.95 Mg/m³
Density of states at the Fermi level: 3.0 states/eV/f.u.
Energy: -24.613 eV/cell
Relative energy among the computed polymorphs: 0 meV per atom
Magnetic moment: 0.00 μB/f.u.
Raw formation energy: 0.270 eV/atom

Entry 17:
The following is a GGA-PBE calculation of a relaxed structure of TcHgSe2N, from Alexandria.

Unit cell a=5.372 b=5.372 c=4.091 alpha=90.00 beta=90.00 gamma=90.00
Positions (direct):
N 0.000 0.000 0.500
Hg 0.000 0.000 0.000
Se 0.000 0.500 0.000
Se 0.500 0.000 0.000
Tc 0.500 0.500 0.500

Output
Density: 6.62 Mg/m³
Density of states at the Fermi level: 2.1 states/eV/f.u.
Energy: -17.466 eV/cell
Relative energy among the computed polymorphs: 1429 meV per atom
Magnetic moment: 3.04 μB/f.u.
Raw formation energy: 1.699 eV/atom

Entry 18:
The following is a GGA-PBE calculation of a relaxed structure of HgTeSeN2, from Alexandria.

Unit cell a=3.934 b=3.934 c=7.266 alpha=90.00 beta=90.00 gamma=90.00
Positions (direct):
Te 0.000 0.000 0.500
Hg 0.500 0.500 0.500
Se 0.000 0.000 0.000
N 0.000 0.500 0.000
N 0.500 0.000 0.000

Output
Density: 6.43 Mg/m³
Density of states at the Fermi level: 3.0 states/eV/f.u.
Energy: -16.002 eV/cell
Relative energy among the computed polymorphs: 273 meV per atom
Magnetic moment: 1.04 μB/f.u.
Raw formation energy: 1.515 eV/atom

Entry 19:
The following is a GGA-PBE calculation of a relaxed structure of HgTe2SeN, from Alexandria.

Unit cell a=5.772 b=4.054 c=5.772 alpha=90.00 beta=90.00 gamma=90.00
Positions (direct):
Te 0.000 0.000 0.500
Te 0.500 0.000 0.000
Hg 0.000 0.000 0.000
Se 0.500 0.500 0.500
N 0.000 0.500 0.000

Output
Density: 6.75 Mg/m³
Density of states at the Fermi level: 5.0 states/eV/f.u.
Energy: -11.946 eV/cell
Relative energy among the computed polymorphs: 408 meV per atom
Magnetic moment: 1.57 μB/f.u.
Raw formation energy: 1.290 eV/atom

Entry 20:
The following is a GGA-PBE calculation of a relaxed structure of HgTeSeN2, from Alexandria.

Unit cell a=4.219 b=4.219 c=7.077 alpha=90.00 beta=90.00 gamma=90.00
Positions (direct):
Te 0.000 0.000 0.500
Hg 0.000 0.000 0.000
Se 0.500 0.500 0.500
N 0.000 0.500 0.000
N 0.500 0.000 0.000

Output
Density: 5.74 Mg/m³
Density of states at the Fermi level: 2.5 states/eV/f.u.
Energy: -14.610 eV/cell
Relative energy among the computed polymorphs: 552 meV per atom
Magnetic moment: 3.80 μB/f.u.
Raw formation energy: 1.794 eV/atom

Entry 21:
The following is a GGA-PBE calculation of a relaxed structure of HgTeSeN2, from Alexandria.

Unit cell a=4.229 b=4.229 c=6.706 alpha=90.00 beta=90.00 gamma=90.00
Positions (direct):
Te 0.500 0.500 0.500
Hg 0.000 0.000 0.000
Se 0.000 0.000 0.500
N 0.000 0.500 0.000
N 0.500 0.000 0.000

Output
Density: 6.02 Mg/m³
Density of states at the Fermi level: 2.7 states/eV/f.u.
Energy: -14.623 eV/cell
Relative energy among the computed polymorphs: 549 meV per atom
Magnetic moment: 3.81 μB/f.u.
Raw formation energy: 1.791 eV/atom

Entry 22:
The following is a GGA-PBE calculation of a relaxed structure of HgTeSeN2, from Alexandria.

Unit cell a=3.994 b=3.994 c=6.132 alpha=90.00 beta=90.00 gamma=90.00
Positions (direct):
Te 0.000 0.000 0.000
Hg 0.500 0.500 0.500
Se 0.000 0.000 0.500
N 0.000 0.500 0.000
N 0.500 0.000 0.000

Output
Density: 7.39 Mg/m³
Density of states at the Fermi level: 2.9 states/eV/f.u.
Energy: -17.368 eV/cell
Relative energy among the computed polymorphs: 0 meV per atom
Magnetic moment: 0.00 μB/f.u.
Raw formation energy: 1.242 eV/atom

Entry 23:
The following is a GGA-PBE calculation of a relaxed structure of HgTe2SeN, from Alexandria.

Unit cell a=5.879 b=5.879 c=3.667 alpha=90.00 beta=90.00 gamma=90.00
Positions (direct):
Te 0.000 0.500 0.000
Te 0.500 0.000 0.000
Hg 0.500 0.500 0.500
Se 0.000 0.000 0.000
N 0.000 0.000 0.500

Output
Density: 7.19 Mg/m³
Density of states at the Fermi level: 5.2 states/eV/f.u.
Energy: -13.987 eV/cell
Relative energy among the computed polymorphs: 0 meV per atom
Magnetic moment: 0.00 μB/f.u.
Raw formation energy: 0.882 eV/atom

Entry 24:
The following is a GGA-PBE calculation of a relaxed structure of TiHgSeN2, from Alexandria.

Unit cell a=3.902 b=3.902 c=5.704 alpha=90.00 beta=90.00 gamma=90.00
Positions (direct):
N 0.000 0.500 0.000
N 0.500 0.000 0.000
Hg 0.500 0.500 0.500
Se 0.000 0.000 0.500
Ti 0.000 0.000 0.000

Output
Density: 6.80 Mg/m³
Density of states at the Fermi level: 2.1 states/eV/f.u.
Energy: -26.926 eV/cell
Relative energy among the computed polymorphs: 0 meV per atom
Magnetic moment: 0.00 μB/f.u.
Raw formation energy: 0.281 eV/atom

Entry 25:
The following is a GGA-PBE calculation of a relaxed structure of TiHgSeN2, from Alexandria.

Unit cell a=4.092 b=4.092 c=5.399 alpha=90.00 beta=90.00 gamma=90.00
Positions (direct):
N 0.000 0.500 0.000
N 0.500 0.000 0.000
Hg 0.000 0.000 0.000
Se 0.000 0.000 0.500
Ti 0.500 0.500 0.500

Output
Density: 6.53 Mg/m³
Density of states at the Fermi level: 4.9 states/eV/f.u.
Energy: -19.424 eV/cell
Relative energy among the computed polymorphs: 1501 meV per atom
Magnetic moment: 0.00 μB/f.u.
Raw formation energy: 1.782 eV/atom

Entry 26:
The following is a GGA-PBE calculation of a relaxed structure of TlHgSe2N, from Alexandria.

Unit cell a=5.532 b=5.532 c=4.405 alpha=90.00 beta=90.00 gamma=90.00
Positions (direct):
Tl 0.000 0.000 0.000
Hg 0.500 0.500 0.500
Se 0.000 0.500 0.000
Se 0.500 0.000 0.000
N 0.000 0.000 0.500

Output
Density: 7.11 Mg/m³
Density of states at the Fermi level: 5.0 states/eV/f.u.
Energy: -12.286 eV/cell
Relative energy among the computed polymorphs: 190 meV per atom
Magnetic moment: 2.23 μB/f.u.
Raw formation energy: 1.135 eV/atom

Entry 27:
The following is a GGA-PBE calculation of a relaxed structure of TlHgSe2N, from Alexandria.

Unit cell a=5.571 b=5.571 c=4.185 alpha=90.00 beta=90.00 gamma=90.00
Positions (direct):
Tl 0.500 0.500 0.500
Hg 0.000 0.000 0.000
Se 0.000 0.500 0.000
Se 0.500 0.000 0.000
N 0.000 0.000 0.500

Output
Density: 7.37 Mg/m³
Density of states at the Fermi level: 4.4 states/eV/f.u.
Energy: -13.239 eV/cell
Relative energy among the computed polymorphs: 0 meV per atom
Magnetic moment: 2.75 μB/f.u.
Raw formation energy: 0.945 eV/atom

Entry 28:
The following is a GGA-PBE calculation of a relaxed structure of HgW2SeN, from Alexandria.

Unit cell a=5.317 b=5.116 c=5.317 alpha=90.00 beta=90.00 gamma=90.00
Positions (direct):
Se 0.000 0.500 0.000
Hg 0.000 0.000 0.000
W 0.000 0.000 0.500
W 0.500 0.000 0.000
N 0.500 0.500 0.500

Output
Density: 7.59 Mg/m³
Density of states at the Fermi level: 4.9 states/eV/f.u.
Energy: -20.446 eV/cell
Magnetic moment: 4.90 μB/f.u.
Raw formation energy: 3.514 eV/atom

Entry 29:
The following is a GGA-PBE calculation of a relaxed structure of Hg2WSeN, from Alexandria.

Unit cell a=5.460 b=4.684 c=5.460 alpha=90.00 beta=90.00 gamma=90.00
Positions (direct):
Se 0.000 0.500 0.000
Hg 0.000 0.000 0.500
Hg 0.500 0.000 0.000
W 0.000 0.000 0.000
N 0.500 0.500 0.500

Output
Density: 8.06 Mg/m³
Density of states at the Fermi level: 6.7 states/eV/f.u.
Energy: -16.954 eV/cell
Magnetic moment: 1.03 μB/f.u.
Raw formation energy: 1.683 eV/atom